Compound: KGaAsBr2
Source: Alexandria via LeMat-Bulk
Functional: PBE
Structure: relaxed

```
KGaAsBr2
1.0
5.647 0.000 0.000
0.000 5.647 0.000
0.000 0.000 5.034
K As Ga Br
1 1 1 2
Direct
0.500 0.500 0.500
0.000 0.000 0.500
0.000 0.000 0.000
0.000 0.500 0.000
0.500 0.000 0.000
```

SG = P4/mmm (123)
total moment = 1.67 μB/cell
ΔE_f (raw) = -0.5253 eV per atom
N(E_F) = 1.1 states/eV per cell
uncorrected energy = -14.7 eV per formula unit
V = 160.53 Å³ per cell
energy above the most stable polymorph in this dataset = 0.000 eV/atom